## SrMnRe2 (GGA-PBE)

Data for a geometry-optimized SrMnRe2 structure.

CIF file:
```
data_SrMnRe2
_symmetry_space_group_name_H-M 'P 4/m m m'
_symmetry_Int_Tables_number 123
_symmetry_space_group_name_Hall '-P 4 2'
_cell_length_a 3.877
_cell_length_b 3.877
_cell_length_c 4.925
_cell_angle_alpha 90.00
_cell_angle_beta 90.00
_cell_angle_gamma 90.00
loop_
_atom_site_label
_atom_site_type_symbol
_atom_site_fract_x
_atom_site_fract_y
_atom_site_fract_z
_atom_site_occupancy
Sr1 Sr 0.000 0.000 0.000 1
Mn1 Mn 0.500 0.500 0.000 1
Re1 Re 0.000 0.500 0.500 1
```

Formation energy, eV/atom: 1.179
Crystal system: tetragonal
E, eV per atom: -7.7580
Energy above the lowest structure with this stoichiometry, eV per formula unit: 2.79